{
  "formula": "Ho4Sb3",
  "functional": "PBE",
  "state": "optimized geometry",
  "lattice_angstrom": [[7.9250, 0.0000, 0.0000], [-2.6417, 7.4718, 0.0000], [-2.6417, -3.7359, 6.4707]],
  "species": ["Ho", "Ho", "Ho", "Ho", "Ho", "Ho", "Ho", "Ho", "Sb", "Sb", "Sb", "Sb", "Sb", "Sb"],
  "frac_coords": [[0.0000, 0.0000, 0.8545], [0.6455, 0.1455, 0.6455], [0.8545, 0.5000, 0.5000], [0.5000, 0.3545, 0.0000], [0.0000, 0.0000, 0.3545], [0.1455, 0.6455, 0.1455], [0.5000, 0.8545, 0.0000], [0.3545, 0.5000, 0.5000], [0.2500, 0.8750, 0.6250], [0.7500, 0.6250, 0.8750], [0.6250, 0.7500, 0.3750], [0.8750, 0.2500, 0.1250], [0.1250, 0.3750, 0.7500], [0.3750, 0.1250, 0.2500]],
  "final_energy_ev_per_fu": -37.47,
  "magnetic_moment_mub_per_fu": 0.00,
  "de_polymorph_ev_per_atom": 0.000,
  "e_form_raw_ev_per_atom": -0.9707
}